(1)
Computed, not measured: a geometry-optimized La3P2N structure at the PBE level of DFT.

Cell: 4.137 5.840 7.250 Å, 113.75 90.00 90.00°
Atoms (fractional coordinates):
N (0.000, 0.000, 0.000)
La (0.000, 0.500, 0.000)
La (0.500, 0.130, 0.260)
La (0.500, 0.870, 0.740)
P (0.500, 0.346, 0.693)
P (0.500, 0.654, 0.307)

Calculated values
Energy = -6.832 eV per atom
D(E_F) = 0.9 states/eV/cell
Symmetry = Cmmm, No. 65
Calculated density = 5102 kg/m³
Formation energy without anion corrections = -1.18 eV/atom



(2)
Computed, not measured: a geometry-optimized KCu4Os structure at the PBE level of DFT.

Cell: 5.043 5.043 5.043 Å, 60.00 60.00 60.00°
Site moments in Bohr magnetons follow the coordinates.
Atoms (fractional coordinates):
K (0.750, 0.750, 0.750)  0.00
Cu (0.374, 0.374, 0.879)  0.03
Cu (0.374, 0.374, 0.374)  0.03
Os (0.000, 0.000, 0.000)  0.86
Cu (0.374, 0.879, 0.374)  0.03
Cu (0.879, 0.374, 0.374)  0.03

Calculated values
Energy = -3.976 eV per atom
D(E_F) = 7.1 states/eV/cell
Symmetry = F-43m, No. 216
Calculated density = 8853 kg/m³
Energy of formation = 0.809 eV per atom



(3)
Computed, not measured: a geometry-optimized Ce2ErTh4 structure at the PBE level of DFT.

Cell: 3.519 3.519 20.062 Å, 84.97 84.97 60.00°
Atoms (fractional coordinates):
Th (0.285, 0.285, 0.145)
Th (0.715, 0.715, 0.855)
Ce (0.428, 0.428, 0.715)
Ce (0.572, 0.572, 0.285)
Th (0.142, 0.142, 0.573)
Th (0.858, 0.858, 0.427)
Er (0.000, 0.000, 0.000)

Calculated values
Energy = -6.568 eV per atom
D(E_F) = 12.8 states/eV/cell
Symmetry = R-3m, No. 166
Calculated density = 10671 kg/m³
Energy of formation = 0.019 eV per atom



(4)
Computed, not measured: a geometry-optimized Na2SeO6 structure at the PBE level of DFT.

Cell: 3.815 5.884 5.779 Å, 120.60 96.92 90.00°
Atoms (fractional coordinates):
O (0.161, 0.911, 0.246)
Se (0.000, 0.000, 0.000)
O (0.839, 0.089, 0.754)
O (0.161, 0.335, 0.246)
O (0.500, 0.786, 0.000)
O (0.500, 0.214, 0.000)
Na (0.288, 0.339, 0.678)
O (0.839, 0.665, 0.754)
Na (0.712, 0.661, 0.322)

Calculated values
Energy = -4.302 eV per atom
Symmetry = C2/m, No. 12
Calculated density = 3318 kg/m³
Formation energy without anion corrections = -0.32 eV/atom



(5)
Computed, not measured: a geometry-optimized KZnCr3 structure at the PBE level of DFT.

Cell: 4.237 4.237 4.237 Å, 90.00 90.00 90.00°
Site moments in Bohr magnetons follow the coordinates.
Atoms (fractional coordinates):
Cr (0.000, 0.500, 0.000)  1.12
K (0.000, 0.000, 0.000)  0.00
Zn (0.500, 0.500, 0.500)  -0.04
Cr (0.500, 0.000, 0.000)  1.49
Cr (0.000, 0.000, 0.500)  1.05

Calculated values
Energy = -3.468 eV per atom
D(E_F) = 6.0 states/eV/cell
Symmetry = Pm-3m, No. 221
Calculated density = 5686 kg/m³
Energy of formation = 2.780 eV per atom



(6)
Computed, not measured: a geometry-optimized ScTc2Br structure at the PBE level of DFT.

Cell: 5.426 5.426 5.426 Å, 146.36 129.93 61.68°
Atoms (fractional coordinates):
Tc (0.749, 0.249, 0.500)
Tc (0.980, 0.980, 0.000)
Sc (0.253, 0.753, 0.500)
Br (0.518, 0.518, 0.000)

Calculated values
Energy = -6.837 eV per atom
D(E_F) = 2.7 states/eV/cell
Symmetry = Imm2, No. 44
Calculated density = 7930 kg/m³
Formation energy without anion corrections = 0.35 eV/atom



(7)
Computed, not measured: a geometry-optimized Tm6PdSe2S3 structure at the PBE level of DFT.

Cell: 3.870 8.005 8.854 Å, 102.96 102.62 90.00°
Atoms (fractional coordinates):
Tm (0.004, 0.755, 0.008)
Tm (0.338, 0.405, 0.676)
Tm (0.996, 0.245, 0.992)
Se (0.832, 0.661, 0.664)
Pd (0.500, 0.000, 0.000)
S (0.171, 0.834, 0.342)
Tm (0.662, 0.595, 0.324)
Tm (0.667, 0.073, 0.333)
Tm (0.333, 0.927, 0.667)
S (0.829, 0.166, 0.658)
Se (0.168, 0.339, 0.336)
S (0.500, 0.500, 0.000)

Calculated values
Energy = -5.934 eV per atom
D(E_F) = 4.4 states/eV/cell
Symmetry = C2/m, No. 12
Calculated density = 8761 kg/m³
Formation energy without anion corrections = -1.65 eV/atom



(8)
Computed, not measured: a geometry-optimized KTcPd2 structure at the PBE level of DFT.

Cell: 7.648 7.648 6.213 Å, 52.01 52.01 90.00°
Site moments in Bohr magnetons follow the coordinates.
Atoms (fractional coordinates):
Pd (0.675, 0.125, 0.250)  0.34
K (0.500, 0.500, 0.000)  0.02
Pd (0.875, 0.925, 0.750)  0.34
Pd (0.075, 0.625, 0.250)  0.33
Tc (0.750, 0.250, 0.500)  2.60
Tc (0.000, 0.000, 0.000)  2.60
Pd (0.375, 0.325, 0.750)  0.35
K (0.250, 0.750, 0.500)  0.02

Calculated values
Energy = -4.586 eV per atom
D(E_F) = 4.3 states/eV/cell
Symmetry = I-42d, No. 122
Calculated density = 6497 kg/m³
Energy of formation = 0.877 eV per atom